This record from Alexandria via LeMat-Bulk describes crystalline Lu2FePd at its relaxed geometry. The functional is PBE-GGA.

POSCAR file:
```
Lu2FePd
1.0
4.7275 0.0000 0.0000
2.3638 4.0942 0.0000
2.3638 1.3647 3.8600
Lu Fe Pd
2 1 1
Direct
0.2500 0.2500 0.2500 Lu
0.7500 0.7500 0.7500 Lu
0.0000 0.0000 0.0000 Fe
0.5000 0.5000 0.5000 Pd
```

Output
DOS(E_F) ... 1.7 states/eV per cell
Polymorph energy (0 for the lowest one) ... 67 meV/atom